Record 1
DFT (PBE) results for an optimized crystal structure of LiTa2Cr.

Results
ΔE_f   0.51 eV per atom
ΔE to the lowest computed polymorph   25.70 kJ/mol of atoms

Cell: 2.7741 2.7741 29.8924 Å, 90.00 90.00 120.00°
With the nearest neighbours (Å) after each atom.
Space group R3m (No. 160, hexagonal axes)
Symmetry-distinct sites (fractional):
Li (0.0000, 0.0000, 0.0000)  6 Li 2.77, 3 Cr 2.83, 3 Ta 3.08
Ta (0.0000, 0.0000, 0.5098)  9 Ta 2.77-3.09, 3 Cr 2.85
Ta (0.0000, 0.0000, 0.7547)  9 Ta 2.77-3.09, 3 Li 3.08
Cr (0.0000, 0.0000, 0.2553)  6 Cr 2.77, 3 Li 2.83, 3 Ta 2.85


Record 2
DFT (PBE) results for an optimized crystal structure of TlPdS2Cl.

Results
ΔE to the lowest computed polymorph   75.70 kJ/mol of atoms
Uncorrected formation energy   759 meV/atom

Cell: 5.1586 5.1586 5.2437 Å, 90.00 90.00 90.00°
With the nearest neighbours (Å) after each atom.
Space group P4/mmm (No. 123)
Symmetry-distinct sites (fractional):
Tl (0.0000, 0.0000, 0.0000)  4 S 2.58, 2 Cl 2.62
Pd (0.5000, 0.5000, 0.5000)  4 Cl 3.65, 8 S 3.68
S (0.0000, 0.5000, 0.0000)  2 Tl 2.58
Cl (0.0000, 0.0000, 0.5000)  2 Tl 2.62